Record 1
DFT (PBE-GGA) results for an optimized crystal structure of Y4Te2PSe.

Cell lengths 4.1516, 7.4541, 7.2191 Å; angles 71.31, 90.00, 90.00 degrees
Closest atoms and distances in Å follow each position.
Positions (direct):
Y1 0.0000 0.7134 0.7487  1 P 2.75, 2 Se 2.88
Y2 0.0000 0.2866 0.2513  1 P 2.75, 2 Se 2.88
Y3 0.5000 0.7096 0.2757  2 P 2.78, 1 Se 2.90, 1 Te 3.09
Y4 0.5000 0.2904 0.7243  2 P 2.78, 1 Se 2.90, 1 Te 3.09
Te1 0.0000 0.0000 0.0000  6 Y 3.19-3.22
Te2 0.5000 0.0000 0.5000  6 Y 3.09-3.10
P1 0.0000 0.5000 0.5000  6 Y 2.75-2.78
Se1 0.5000 0.5000 0.0000  6 Y 2.88-2.90

Summary:
- Uncorrected formation energy: -1.5838 eV/atom
- Symmetry: P2/m

---

Record 2
DFT (PBE-GGA) results for an optimized crystal structure of Y8Te4PSe3.

Cell lengths 8.3788, 8.5268, 8.3789 Å; angles 119.43, 120.00, 90.00 degrees
Closest atoms and distances in Å follow each position.
Positions (direct):
Y1 0.2296 0.7116 0.9820  1 P 2.74, 2 Se 2.89
Y2 0.2296 0.7116 0.4591  1 P 2.74, 2 Se 2.89
Y3 0.2610 0.2831 0.5220  3 Se 2.86, 3 Te 3.13
Y4 0.7524 0.7116 0.9820  1 P 2.74, 2 Se 2.89
Y5 0.2476 0.2884 0.0180  1 P 2.74, 2 Se 2.89
Y6 0.7390 0.7169 0.4780  3 Se 2.86, 3 Te 3.13
Y7 0.7704 0.2884 0.5409  1 P 2.74, 2 Se 2.89
Y8 0.7704 0.2884 0.0180  1 P 2.74, 2 Se 2.89
Te1 0.5000 0.0000 0.0000  6 Y 3.24
Te2 0.5000 0.0000 0.5000  6 Y 3.11-3.13
Te3 0.0000 0.0000 0.0000  6 Y 3.11-3.13
Te4 0.0000 0.0000 0.5000  6 Y 3.11-3.13
P1 0.0000 0.5000 0.0000  6 Y 2.74
Se1 0.5000 0.5000 0.0000  6 Y 2.86-2.89
Se2 0.5000 0.5000 0.5000  6 Y 2.86-2.89
Se3 0.0000 0.5000 0.5000  6 Y 2.86-2.89

Summary:
- Uncorrected formation energy: -1.5758 eV/atom
- Symmetry: R-3m

---

Record 3
DFT (PBE-GGA) results for an optimized crystal structure of Y8Te3PSe3.

Cell lengths 8.3036, 8.3041, 8.4751 Å; angles 119.33, 90.00, 120.00 degrees
Closest atoms and distances in Å follow each position.
Positions (direct):
Y1 0.2616 0.5231 0.2847  3 Se 2.83, 3 Te 3.12
Y2 0.7384 0.4769 0.7153  3 Se 2.83, 3 Te 3.12
Y3 0.7687 0.5374 0.2848  1 P 2.74, 2 Se 2.87
Y4 0.2313 0.4626 0.7152  1 P 2.74, 2 Se 2.87
Y5 0.7687 0.0161 0.2848  1 P 2.74, 2 Se 2.87
Y6 0.2313 0.9839 0.7152  1 P 2.74, 2 Se 2.87
Y7 0.2474 0.0161 0.2848  1 P 2.74, 2 Se 2.87
Y8 0.7526 0.9839 0.7152  1 P 2.74, 2 Se 2.87
Te1 0.0000 0.0000 0.0000  6 Y 3.08-3.12
Te2 0.0000 0.5000 0.0000  6 Y 3.08-3.12
Te3 0.5000 0.5000 0.0000  6 Y 3.08-3.12
P1 0.0000 0.0000 0.5000  6 Y 2.74
Se1 0.5000 0.0000 0.5000  6 Y 2.83-2.87
Se2 0.5000 0.5000 0.5000  6 Y 2.83-2.87
Se3 0.0000 0.5000 0.5000  6 Y 2.83-2.87

Summary:
- Uncorrected formation energy: -1.4561 eV/atom
- Symmetry: R-3m

---

Which of these has the highest uncorrected formation energy?
Y8Te3PSe3

---

What is the uncorrected formation energy in the third record?
-1.4561 eV/atom